1.
Below is a relaxed Pm4TeC2 crystal, with properties calculated at the PBE level.

Unit cell a=14.1157 b=14.1157 c=14.1157 alpha=15.68 beta=15.68 gamma=15.68
Last column: nearest neighbours and their distance in Å.
Element x y z (fractional)
Pm  0.1194  0.1194  0.1194  3 C 2.55
Pm  0.2799  0.2799  0.2799  3 C 2.69
Pm  0.7201  0.7201  0.7201  3 C 2.69
Pm  0.8806  0.8806  0.8806  3 C 2.55
Te  0.0000  0.0000  0.0000  6 Pm 3.15
C  0.4228  0.4228  0.4228  6 Pm 2.55-2.69
C  0.5772  0.5772  0.5772  6 Pm 2.55-2.69

ΔE to the lowest computed polymorph	0.0208	eV per atom
formation energy from raw total energies	-0.473	eV/atom


2.
Below is a relaxed Gd2InCu crystal, with properties calculated at the PBE level.

Unit cell a=3.5573 b=3.5573 c=7.7576 alpha=90.00 beta=90.00 gamma=90.00
Last column: nearest neighbours and their distance in Å.
Element x y z (fractional)
Gd  0.0000  0.0000  0.2242  4 Cu 3.06, 4 In 3.30
Gd  0.0000  0.0000  0.7758  4 Cu 3.06, 4 In 3.30
In  0.5000  0.5000  0.5000  8 Gd 3.30, 4 In 3.56
Cu  0.5000  0.5000  0.0000  8 Gd 3.06

ΔE_f	-0.35	eV/atom


3.
Below is a relaxed V2Ga2Mo crystal, with properties calculated at the PBE level.

Unit cell a=6.6846 b=6.6846 c=3.2625 alpha=90.00 beta=90.00 gamma=90.00
Last column: nearest neighbours and their distance in Å.
Element x y z (fractional)
V  0.1732  0.3268  0.0000  6 Ga 2.48-2.61
V  0.3268  0.8268  0.0000  6 Ga 2.48-2.61
V  0.6732  0.1732  0.0000  6 Ga 2.48-2.61
V  0.8268  0.6732  0.0000  6 Ga 2.48-2.61
Ga  0.1292  0.6292  0.5000  1 Ga 2.44, 6 V 2.48-2.61, 2 Mo 2.62
Ga  0.3708  0.1292  0.5000  1 Ga 2.44, 6 V 2.48-2.61, 2 Mo 2.62
Ga  0.6292  0.8708  0.5000  1 Ga 2.44, 6 V 2.48-2.61, 2 Mo 2.62
Ga  0.8708  0.3708  0.5000  1 Ga 2.44, 6 V 2.48-2.61, 2 Mo 2.62
Mo  0.0000  0.0000  0.5000  4 Ga 2.62
Mo  0.5000  0.5000  0.5000  4 Ga 2.62

ΔE_f	-0.11	eV/atom
ΔE to the lowest computed polymorph	0.0354	eV per atom


no.,total DFT energy (no corrections) (eV per atom)
1,-6.2722
2,-9.1031
3,-7.1296